The following is a PBE calculation of a geometry-optimized TbSmHo3Er structure, from Alexandria.

```
TbSmHo3Er
1.0
5.0098 0.0000 0.0000
0.0000 10.0256 0.0000
-2.4977 0.0000 7.5188
Tb Sm Ho Er
2 2 6 2
Direct
0.0000 0.0000 0.0000 Tb
0.0000 0.5000 0.0000 Tb
0.4999 0.2500 0.9998 Sm
0.5001 0.7500 0.0002 Sm
0.1676 0.2500 0.3355 Ho
0.3326 0.0000 0.6654 Ho
0.3326 0.5000 0.6654 Ho
0.6674 0.0000 0.3346 Ho
0.6674 0.5000 0.3346 Ho
0.8324 0.7500 0.6645 Ho
0.1676 0.7500 0.3353 Er
0.8324 0.2500 0.6647 Er
```

Summary:
Symmetry = P2_1/m
Formation energy = 0.02 eV per atom